No. 1
Entry from the Alexandria database: an optimized crystal structure of AlZn6Ga8 (PBE-GGA).

Structure (extended XYZ):
```
15
Lattice="6.003 0.000 0.000 0.000 6.346 -3.664 0.000 0.000 7.327" Properties=species:S:1:pos:R:3 pbc="T T T"
Al 3.002 0.000 0.000
Zn 4.135 4.232 -2.428
Zn 4.135 6.332 1.215
Zn 4.135 2.127 1.212
Zn 1.868 2.113 6.091
Zn 1.868 0.013 2.448
Zn 1.868 4.219 2.451
Ga 5.155 0.011 2.424
Ga 5.155 4.241 2.460
Ga 5.155 2.094 6.105
Ga 0.848 6.335 1.239
Ga 0.848 2.105 1.203
Ga 0.848 4.251 -2.442
Ga 3.023 2.115 3.663
Ga 2.980 4.230 0.000
```

Summary:
* space group: P-3
* mass density: 5.81 g/cm3
* magnetic moment: 0.000 μB per formula unit
* calculated total energy: -34.35 eV per formula unit
* ΔH_f (0 K): 1.253 eV per formula unit

=====

No. 2
Entry from the Alexandria database: an optimized crystal structure of CdIrPt2 (PBE-GGA).

Structure (extended XYZ):
```
4
Lattice="-2.685 -0.856 -0.245 0.019 -0.832 2.704 -2.564 7.386 2.292" Properties=species:S:1:pos:R:3 pbc="T T T"
Ir -3.294 4.805 2.982
Pt -2.547 7.336 2.276
Pt -1.947 0.926 1.779
Cd -1.288 3.710 1.151
```

Summary:
* space group: P4mm
* mass density: 17.70 g/cm3
* magnetic moment: 0.003 μB per formula unit
* calculated total energy: -21.78 eV per formula unit
* ΔH_f (0 K): 0.073 eV per formula unit

=====

No. 3
Entry from the Alexandria database: an optimized crystal structure of Dy3HoTm4 (PBE-GGA).

Structure (extended XYZ):
```
16
Lattice="-0.172 6.156 0.777 -6.168 0.289 -3.659 -5.666 -1.350 9.446" Properties=species:S:1:pos:R:3 pbc="T T T"
Dy -3.975 4.166 -1.789
Dy -5.448 5.885 0.831
Dy -3.805 2.733 1.370
Dy -5.163 0.340 3.470
Dy -6.636 2.059 6.090
Dy -8.282 5.209 5.556
Ho -2.330 1.017 -1.252
Ho -6.808 3.493 2.934
Tm -5.432 1.165 -3.092
Tm -0.874 4.024 0.051
Tm -2.347 5.736 2.669
Tm -6.906 2.875 -0.469
Tm -8.263 0.489 1.632
Tm -3.706 3.350 4.775
Tm -9.736 2.201 4.249
Tm -5.182 5.061 7.396
```

Summary:
* space group: Pmn2_1
* mass density: 8.92 g/cm3
* magnetic moment: 0.000 μB per formula unit
* calculated total energy: -36.26 eV per formula unit
* ΔE to the lowest computed polymorph: 0 meV/atom
* ΔH_f (0 K): 0.007 eV per formula unit

=====

No. 4
Entry from the Alexandria database: an optimized crystal structure of CsHgF (PBE-GGA).

Structure (extended XYZ):
```
6
Lattice="-1.398 3.585 -1.796 0.518 -1.723 -3.844 -10.260 -3.830 0.335" Properties=species:S:1:pos:R:3 pbc="T T T"
Cs -1.835 0.957 -3.905
Cs -4.325 -1.069 -0.988
Hg -7.653 -1.230 -3.716
Hg -8.758 -2.738 -0.846
F -4.595 -0.074 -3.813
F -1.566 -0.037 -1.078
```

Summary:
* space group: Aem2
* mass density: 5.93 g/cm3
* E_form (uncorrected): -39.60 kcal/mol of atoms
* magnetic moment: 0.000 μB per formula unit
* calculated total energy: -8.18 eV per formula unit
* ΔE to the lowest computed polymorph: 0 meV/atom

=====

No. 5
Entry from the Alexandria database: an optimized crystal structure of CaCd2Ir (PBE-GGA).

Structure (extended XYZ):
```
8
Lattice="4.258 0.000 0.000 0.000 4.258 0.000 2.129 2.129 10.159" Properties=species:S:1:pos:R:3 pbc="T T T"
Ca 2.129 2.129 0.000
Ca 2.129 4.258 5.079
Ir 0.000 0.000 0.000
Ir 4.258 2.129 5.079
Cd 3.371 1.064 2.540
Cd 0.887 3.193 2.540
Cd 3.193 3.016 7.619
Cd 5.322 5.500 7.619
```

Summary:
* space group: I-42d
* mass density: 8.24 g/cm3
* magnetic moment: 0.000 μB per formula unit
* calculated total energy: -12.26 eV per formula unit
* ΔH_f (0 K): 0.435 eV per formula unit

=====

No. 6
Entry from the Alexandria database: an optimized crystal structure of BeSi2Br (PBE-GGA).

Structure (extended XYZ):
```
4
Lattice="-1.006 1.665 2.365 -4.240 -0.158 -1.692 -0.870 -4.177 2.571" Properties=species:S:1:pos:R:3 pbc="T T T"
Be -2.840 -0.291 0.979
Si -0.014 -0.069 0.043
Si -0.421 -2.020 1.243
Br -3.275 -2.380 2.265
```

Summary:
* space group: Pmmm
* mass density: 3.46 g/cm3
* E_form (uncorrected): 17.96 kcal/mol of atoms
* magnetic moment: 0.000 μB per formula unit
* calculated total energy: -13.13 eV per formula unit
* ΔE to the lowest computed polymorph: 731 meV/atom

=====

No. 7
Entry from the Alexandria database: an optimized crystal structure of Ce3ThSb2 (PBE-GGA).

Structure (extended XYZ):
```
6
Lattice="-0.593 3.194 -3.122 0.131 -3.135 -3.233 -8.884 -1.028 0.637" Properties=species:S:1:pos:R:3 pbc="T T T"
Ce -3.490 1.227 -1.332
Ce -5.625 -2.226 -1.208
Ce 0.000 0.000 0.000
Th -0.231 0.029 -3.177
Sb -6.720 0.854 -1.100
Sb -2.396 -1.852 -1.440
```

Summary:
* space group: P-4m2
* mass density: 8.17 g/cm3
* E_form (uncorrected): -14.55 kcal/mol of atoms
* magnetic moment: 3.589 μB per formula unit
* calculated total energy: -37.25 eV per formula unit
* ΔE to the lowest computed polymorph: 0 meV/atom

=====

No. 8
Entry from the Alexandria database: an optimized crystal structure of RbHg (PBE-GGA).

Structure (extended XYZ):
```
12
Lattice="-4.980 -4.814 8.135 9.099 -4.065 -3.852 3.094 3.287 3.839" Properties=species:S:1:pos:R:3 pbc="T T T"
Rb 2.426 -5.642 5.163
Rb 8.793 -1.740 1.264
Rb 0.613 -1.733 3.277
Rb 4.786 0.050 2.960
Rb -1.580 -3.852 6.859
Rb 6.600 -3.859 4.846
Hg 6.528 -4.814 1.148
Hg 3.470 -2.023 5.795
Hg 5.267 -2.096 -0.164
Hg 0.684 -0.778 6.975
Hg 3.742 -3.569 2.327
Hg 1.945 -3.496 8.286
```

Summary:
* space group: P6_3/mmc
* mass density: 4.87 g/cm3
* magnetic moment: 0.000 μB per formula unit
* calculated total energy: -1.65 eV per formula unit
* ΔH_f (0 K): -0.377 eV per formula unit

=====

No. 9
Entry from the Alexandria database: an optimized crystal structure of Tb4NdHg (PBE-GGA).

Structure (extended XYZ):
```
12
Lattice="6.351 -0.713 0.000 -2.541 8.670 0.000 -1.905 -3.978 7.005" Properties=species:S:1:pos:R:3 pbc="T T T"
Tb -1.647 -1.652 5.374
Tb 1.828 3.154 4.381
Tb -1.529 2.008 5.374
Tb -1.193 5.159 4.381
Tb 3.098 -1.181 2.624
Tb 3.434 1.970 1.631
Tb 0.078 0.824 2.624
Tb 3.552 5.630 1.631
Nd 0.317 4.157 1.342
Nd 1.588 -0.178 5.663
Hg 1.588 -0.178 0.010
Hg 0.317 4.157 6.994
```

Summary:
* space group: C2/c
* mass density: 8.73 g/cm3
* magnetic moment: 0.000 μB per formula unit
* calculated total energy: -23.91 eV per formula unit
* ΔE to the lowest computed polymorph: 90 meV/atom
* ΔH_f (0 K): -0.322 eV per formula unit

=====

No. 10
Entry from the Alexandria database: an optimized crystal structure of TiCuSn2 (PBE-GGA).

Structure (extended XYZ):
```
4
Lattice="3.895 0.000 0.000 0.000 4.406 0.000 0.000 0.000 4.406" Properties=species:S:1:pos:R:3 pbc="T T T"
Sn 0.000 0.000 2.203
Sn 0.000 2.203 0.000
Cu 1.948 2.203 2.203
Ti 1.948 0.000 0.000
```

Summary:
* space group: P4/mmm
* mass density: 7.66 g/cm3
* magnetic moment: 0.000 μB per formula unit
* calculated total energy: -20.19 eV per formula unit
* ΔH_f (0 K): -0.198 eV per formula unit

=====

No. 11
Entry from the Alexandria database: an optimized crystal structure of CaMg30TiO32 (PBE-GGA).

Structure (extended XYZ):
```
64
Lattice="-1.401 5.852 -6.109 -3.421 -6.060 -5.020 -7.743 1.617 3.325" Properties=species:S:1:pos:R:3 pbc="T T T"
Ca 0.000 0.000 0.000
Mg -1.710 -3.030 -2.510
Mg -2.411 -0.104 -5.564
Mg -3.872 0.808 1.663
Mg -4.572 3.734 -1.392
Mg -5.582 -2.222 -0.848
Mg -6.283 0.704 -3.902
Mg -1.226 -0.073 -2.818
Mg -1.921 2.833 -5.852
Mg -2.901 -3.041 -5.277
Mg -3.597 -0.135 -8.310
Mg -5.080 0.754 -1.126
Mg -5.780 3.676 -4.175
Mg -6.786 -2.267 -3.629
Mg -7.486 0.654 -6.678
Mg -2.328 1.886 -0.689
Mg -3.024 4.791 -3.723
Mg -4.003 -1.159 -3.206
Mg -4.702 1.762 -6.255
Mg -6.121 2.677 0.939
Mg -6.817 5.583 -2.094
Mg -7.864 -0.353 -1.548
Mg -8.563 2.568 -4.598
Mg -2.826 -1.125 -0.429
Mg -3.499 1.812 -3.479
Mg -4.515 -4.117 -2.908
Mg -5.205 -1.210 -5.983
Mg -6.649 -0.327 1.213
Mg -7.361 2.619 -1.821
Mg -8.338 -3.319 -1.266
Mg -9.067 -0.404 -4.325
Ti -0.701 2.926 -3.054
O -2.033 0.424 0.873
O -2.692 3.342 -2.199
O -3.663 -2.622 -1.672
O -4.356 0.302 -4.729
O -5.711 1.192 2.452
O -6.453 4.127 -0.584
O -7.501 -1.821 -0.024
O -8.210 1.107 -3.074
O -3.137 0.353 -1.950
O -3.838 3.280 -5.005
O -4.850 -2.682 -4.464
O -5.551 0.245 -7.519
O -7.015 1.163 -0.284
O -7.716 4.090 -3.340
O -8.728 -1.872 -2.799
O -9.429 1.055 -5.854
O -0.364 1.520 -1.586
O -1.038 4.332 -4.522
O -2.063 -1.558 -4.047
O -2.759 1.350 -7.082
O -4.224 2.280 0.126
O -4.921 5.188 -2.910
O -5.933 -0.757 -2.377
O -6.633 2.165 -5.427
O -0.898 -1.591 -1.318
O -1.580 1.368 -4.345
O -2.523 -4.469 -3.702
O -3.242 -1.576 -6.784
O -4.734 -0.720 0.397
O -5.431 2.212 -2.652
O -6.430 -3.724 -2.092
O -7.134 -0.804 -5.151
```

Summary:
* space group: P4/mmm
* mass density: 3.50 g/cm3
* E_form (uncorrected): -61.52 kcal/mol of atoms
* magnetic moment: 1.841 μB per formula unit
* calculated total energy: -387.13 eV per formula unit

=====

No. 12
Entry from the Alexandria database: an optimized crystal structure of HoH3Pd (PBE-GGA).

Structure (extended XYZ):
```
5
Lattice="-3.343 -0.454 1.493 1.041 -3.278 1.334 1.162 1.630 3.099" Properties=species:S:1:pos:R:3 pbc="T T T"
H 0.520 -1.639 0.667
H 0.581 0.815 1.549
H -1.671 -0.227 0.746
Ho -0.570 -1.051 2.963
Pd 0.000 0.000 0.000
```

Summary:
* space group: Pm-3m
* mass density: 9.08 g/cm3
* magnetic moment: 0.000 μB per formula unit
* calculated total energy: -22.08 eV per formula unit